[1]
Entry from Alexandria via LeMat-Bulk: an optimized crystal structure of ErPd2O4 (PBE).

Cell lengths 6.512, 5.856, 6.503 Å; angles 73.83, 59.94, 56.22 degrees
Element x y z (fractional)
Er  0.750  0.500  0.500
Er  0.000  0.000  0.000
Pd  0.875  0.750  0.750
Pd  0.375  0.250  0.250
Pd  0.375  0.750  0.250
Pd  0.375  0.250  0.750
O  0.627  0.340  0.272
O  0.123  0.160  0.228
O  0.240  0.660  0.728
O  0.033  0.340  0.728
O  0.100  0.660  0.272
O  0.510  0.840  0.772
O  0.717  0.160  0.772
O  0.650  0.840  0.228

Results
Crystal system   orthorhombic

=====

[2]
Entry from Alexandria via LeMat-Bulk: an optimized crystal structure of TlGe2Au (PBE).

Cell lengths 4.952, 4.952, 4.952 Å; angles 60.00, 60.00, 60.00 degrees
Element x y z (fractional)
Tl  0.500  0.500  0.500
Au  0.000  0.000  0.000
Ge  0.250  0.250  0.250
Ge  0.750  0.750  0.750

Results
Energy relative to the elements   288 meV per atom
Offset from the most stable computed form   0.232 eV/atom
Crystal system   cubic

=====

[3]
Entry from Alexandria via LeMat-Bulk: an optimized crystal structure of MgFe2Hg (PBE).

Cell lengths 4.458, 4.458, 4.458 Å; angles 60.00, 60.00, 60.00 degrees
Element x y z (fractional)
Fe  0.000  0.000  0.000
Fe  0.250  0.250  0.250
Hg  0.500  0.500  0.500
Mg  0.750  0.750  0.750

Results
Energy relative to the elements   278 meV per atom
Crystal system   cubic

=====

[4]
Entry from Alexandria via LeMat-Bulk: an optimized crystal structure of CoHgTe2 (PBE).

Cell lengths 9.891, 9.891, 9.891 Å; angles 19.89, 19.89, 19.89 degrees
Element x y z (fractional)
Co  0.502  0.502  0.502
Hg  0.769  0.769  0.769
Te  0.009  0.009  0.009
Te  0.219  0.219  0.219

Results
Crystal system   trigonal

=====

[5]
Entry from Alexandria via LeMat-Bulk: an optimized crystal structure of Cd4Pd7Au (PBE).

Cell lengths 5.708, 7.656, 7.559 Å; angles 69.50, 78.72, 41.42 degrees
Element x y z (fractional)
Cd  0.492  0.674  0.329
Cd  0.508  0.326  0.671
Cd  0.750  0.821  0.675
Cd  0.250  0.179  0.325
Pd  0.751  0.496  0.999
Pd  0.249  0.504  0.001
Pd  0.005  0.328  0.665
Pd  0.995  0.672  0.335
Pd  0.251  0.829  0.665
Pd  0.500  0.000  0.000
Pd  0.749  0.171  0.335
Au  0.000  0.000  0.000

Results
Energy relative to the elements   -286 meV per atom
Offset from the most stable computed form   0.000 eV/atom
Crystal system   triclinic

=====

[6]
Entry from Alexandria via LeMat-Bulk: an optimized crystal structure of CsNa14Li (PBE).

Cell lengths 7.786, 7.786, 10.376 Å; angles 90.00, 90.00, 90.00 degrees
Element x y z (fractional)
Cs  0.500  0.500  0.500
Na  0.500  0.500  0.000
Na  0.000  0.000  0.000
Na  0.500  0.000  0.500
Na  0.500  0.000  0.000
Na  0.000  0.500  0.500
Na  0.000  0.500  0.000
Na  0.231  0.769  0.240
Na  0.231  0.769  0.760
Na  0.769  0.231  0.240
Na  0.769  0.231  0.760
Na  0.231  0.231  0.240
Na  0.231  0.231  0.760
Na  0.769  0.769  0.240
Na  0.769  0.769  0.760
Li  0.000  0.000  0.500

Results
Energy relative to the elements   51 meV per atom
Crystal system   tetragonal

=====

[7]
Entry from Alexandria via LeMat-Bulk: an optimized crystal structure of SrLaTlI6 (PBE).

Cell lengths 8.331, 8.331, 15.089 Å; angles 90.00, 90.00, 120.00 degrees
Element x y z (fractional)
Sr  0.333  0.667  0.250
Sr  0.667  0.333  0.750
La  0.667  0.333  0.250
La  0.333  0.667  0.750
Tl  0.000  0.000  0.000
Tl  0.000  0.000  0.500
I  0.646  0.635  0.128
I  0.989  0.354  0.128
I  0.354  0.989  0.628
I  0.011  0.646  0.872
I  0.365  0.354  0.372
I  0.989  0.635  0.372
I  0.635  0.989  0.872
I  0.646  0.011  0.372
I  0.011  0.365  0.628
I  0.365  0.011  0.128
I  0.635  0.646  0.628
I  0.354  0.365  0.872

Results
Crystal system   trigonal

=====

[8]
Entry from Alexandria via LeMat-Bulk: an optimized crystal structure of CrTc2Rh (PBE).

Cell lengths 4.150, 2.692, 5.139 Å; angles 75.21, 90.00, 90.00 degrees
Element x y z (fractional)
Cr  0.000  0.332  0.504
Rh  0.500  0.704  0.723
Tc  0.000  0.039  0.019
Tc  0.500  0.425  0.254

Results
Energy relative to the elements   42 meV per atom
Offset from the most stable computed form   0.025 eV/atom
Crystal system   monoclinic

=====

Total energy for the records above, in order: -0.2332 -0.1261 -0.1627 -0.1199 -0.1431 -0.0469 -0.1256 -0.3449 Ha/atom